# Pr2BIr2

An optimized crystal structure of Pr2BIr2 (PBE, Alexandria via LeMat-Bulk).

Summary:
* DFT formation energy: -0.5253 eV/atom
* calculated density: 10.80 g/cm³
* raw total energy: -7.317 eV per atom
* crystal system: monoclinic

Lattice parameters (Å, degrees): 6.0278 6.0278 10.3402 111.32 111.32 36.85
With the nearest neighbours (Å) after each atom.
Atoms (fractional coordinates):
Pr 0.1005 0.1005 0.4086  5 Ir 2.99-3.07, 2 B 3.08
Pr 0.2944 0.2944 0.8560  7 Ir 2.99-3.33, 4 B 3.10-3.29
Pr 0.7056 0.7056 0.1440  7 Ir 2.99-3.33, 4 B 3.10-3.29
Pr 0.8995 0.8995 0.5914  5 Ir 2.99-3.07, 2 B 3.08
B 0.4320 0.4320 0.1790  3 Ir 2.13-2.14
B 0.5680 0.5680 0.8210  3 Ir 2.13-2.14
Ir 0.0459 0.0459 0.9005  2 B 2.13
Ir 0.3766 0.3766 0.3543  1 B 2.14
Ir 0.6234 0.6234 0.6457  1 B 2.14
Ir 0.9541 0.9541 0.0995  2 B 2.13